# 1
Li2AcPb4 | PBE | optimized geometry

Cell: 7.592 7.592 7.592 Å, 130.50 130.50 72.61°
Element x y z (fractional)
Li: 0.138 0.138 0.000
Li: 0.862 0.862 0.000
Ac: 0.500 0.500 0.000
Pb: 0.000 0.500 0.500
Pb: 0.250 0.750 0.500
Pb: 0.500 0.000 0.500
Pb: 0.750 0.250 0.500

Output
Calculated formation energy   79 meV/atom

---

# 2
CrHgAu2S | PBE | optimized geometry

Cell: 5.188 5.188 4.264 Å, 90.00 90.00 90.00°
Element x y z (fractional)
Cr: 0.000 0.000 0.000
Hg: 0.500 0.500 0.500
Au: 0.000 0.500 0.000
Au: 0.500 0.000 0.000
S: 0.000 0.000 0.500

Output
ΔE_f (raw)   0.3264 eV per atom
Polymorph energy (0 for the lowest one)   0.000 eV/atom

---

# 3
Y2MgGa4Ir3 | PBE | optimized geometry

Cell: 4.033 4.033 11.489 Å, 90.00 90.00 90.00°
Element x y z (fractional)
Y: 0.000 0.500 0.236
Y: 0.500 0.000 0.764
Mg: 0.000 0.000 0.500
Ga: 0.000 0.000 0.000
Ga: 0.000 0.500 0.645
Ga: 0.500 0.000 0.355
Ga: 0.500 0.500 0.000
Ir: 0.000 0.500 0.863
Ir: 0.500 0.000 0.137
Ir: 0.500 0.500 0.500

Output
Calculated formation energy   -646 meV/atom

---

# 4
VTcSb2Rh | PBE | optimized geometry

Cell: 4.989 4.989 4.362 Å, 90.00 90.00 90.00°
Element x y z (fractional)
V: 0.000 0.000 0.000
Tc: 0.000 0.000 0.500
Sb: 0.000 0.500 0.000
Sb: 0.500 0.000 0.000
Rh: 0.500 0.500 0.500

Output
ΔE_f (raw)   0.9839 eV per atom

---

# 5
Ca2AlVGa | PBE | optimized geometry

Cell: 5.613 5.613 4.893 Å, 90.00 90.00 90.00°
Element x y z (fractional)
Ca: 0.000 0.500 0.000
Ca: 0.500 0.000 0.000
Al: 0.000 0.000 0.500
V: 0.500 0.500 0.000
Ga: 0.500 0.500 0.500

Output
Calculated formation energy   613 meV/atom

---

# 6
Tb2HoTh | PBE | optimized geometry

Cell: 11.622 11.622 11.622 Å, 17.76 17.76 17.76°
Element x y z (fractional)
Tb: 0.000 0.000 0.000
Tb: 0.168 0.168 0.168
Ho: 0.750 0.750 0.750
Th: 0.584 0.584 0.584

Output
Calculated formation energy   8 meV/atom
Polymorph energy (0 for the lowest one)   0.000 eV/atom

---

# 7
CaCu2Ni | PBE | optimized geometry

Cell: 4.826 4.826 4.826 Å, 131.43 131.43 71.14°
Element x y z (fractional)
Ca: 0.000 0.000 0.000
Cu: 0.250 0.750 0.500
Cu: 0.500 0.500 0.000
Ni: 0.750 0.250 0.500

Output
Calculated formation energy   114 meV/atom
Polymorph energy (0 for the lowest one)   0.253 eV/atom

---

# 8
MgPdIO2 | PBE | optimized geometry

Cell: 4.100 4.100 5.388 Å, 90.00 90.00 90.00°
Element x y z (fractional)
Mg: 0.000 0.000 0.000
Pd: 0.500 0.500 0.500
I: 0.500 0.500 0.000
O: 0.000 0.500 0.500
O: 0.500 0.000 0.500

Output
ΔE_f (raw)   -0.0900 eV per atom
Polymorph energy (0 for the lowest one)   0.222 eV/atom

---

# 9
Ca2ZnOsC | PBE | optimized geometry

Cell: 5.091 5.091 3.900 Å, 90.00 90.00 90.00°
Element x y z (fractional)
Ca: 0.000 0.500 0.000
Ca: 0.500 0.000 0.000
Zn: 0.000 0.000 0.500
Os: 0.500 0.500 0.500
C: 0.500 0.500 0.000

Output
Calculated formation energy   -14 meV/atom

---

# 10
NdSmScCd | PBE | optimized geometry

Cell: 5.442 5.442 5.442 Å, 60.00 60.00 60.00°
Element x y z (fractional)
Nd: 0.000 0.000 0.000
Sm: 0.500 0.500 0.500
Sc: 0.250 0.250 0.250
Cd: 0.750 0.750 0.750

Output
Calculated formation energy   -57 meV/atom
Polymorph energy (0 for the lowest one)   0.066 eV/atom

---

# 11
ZrNiIr | PBE | optimized geometry

Cell: 4.307 4.307 4.307 Å, 60.00 60.00 60.00°
Element x y z (fractional)
Zr: 0.000 0.000 0.000
Ni: 0.250 0.250 0.250
Ir: 0.750 0.750 0.750

Output
Calculated formation energy   33 meV/atom

---

# 12
ScRuPb2 | PBE | optimized geometry

Cell: 3.304 3.356 8.808 Å, 90.00 100.25 90.00°
Element x y z (fractional)
Sc: 0.000 0.000 0.000
Ru: 0.427 0.500 0.845
Pb: 0.626 0.500 0.265
Pb: 0.827 0.000 0.633

Output
Calculated formation energy   -121 meV/atom
Polymorph energy (0 for the lowest one)   0.000 eV/atom